Entry 1:
Material: Na2CuGe2
Method: DFT, PBE-GGA
State: optimized geometry

Geometry as POSCAR:
```
Na2CuGe2
1.0
6.446 0.000 0.000
0.000 6.446 0.000
0.000 0.000 4.916
Na Cu Ge
4 2 4
Direct
0.174 0.326 0.000 Na
0.326 0.826 0.000 Na
0.674 0.174 0.000 Na
0.826 0.674 0.000 Na
0.000 0.000 0.500 Cu
0.500 0.500 0.500 Cu
0.138 0.638 0.500 Ge
0.362 0.138 0.500 Ge
0.638 0.862 0.500 Ge
0.862 0.362 0.500 Ge
```

Values from the calculation:
Its volume is 20.4 A^3/atom. The calculation puts the energy above the most stable polymorph in this dataset at 0 meV per atom. The calculated total energy comes out at -32.39 eV per cell. The value obtained for the spin magnetization is 0.000 μB/f.u. For the energy of formation from the pure elements, the calculation gives -0.045 eV per atom. As for the space group: No. 127.

Entry 2:
Material: NaCuGe
Method: DFT, PBE-GGA
State: optimized geometry

Geometry as POSCAR:
```
NaCuGe
1.0
7.088 0.000 0.000
0.000 4.105 0.000
-2.215 0.000 9.258
Na Cu Ge
4 4 4
Direct
0.230 0.000 0.167 Na
0.270 0.500 0.833 Na
0.730 0.500 0.167 Na
0.770 0.000 0.833 Na
0.152 0.500 0.454 Cu
0.348 0.000 0.546 Cu
0.652 0.000 0.454 Cu
0.848 0.500 0.546 Cu
0.042 0.000 0.639 Ge
0.458 0.500 0.361 Ge
0.542 0.500 0.639 Ge
0.958 0.000 0.361 Ge
```

Values from the calculation:
Its volume is 22.4 A^3/atom. The calculated total energy comes out at -40.29 eV per cell. The value obtained for the spin magnetization is 0.000 μB/f.u. For the energy of formation from the pure elements, the calculation gives -0.013 eV per atom. As for the space group: No. 12.

Entry 3:
Material: Na2Cu3Ge5
Method: DFT, PBE-GGA
State: optimized geometry

Geometry as POSCAR:
```
Na2Cu3Ge5
1.0
2.133 -12.145 0.000
2.133 12.145 0.000
0.000 0.000 6.784
Na Cu Ge
4 6 10
Direct
0.021 0.979 0.500 Na
0.324 0.676 0.457 Na
0.676 0.324 0.957 Na
0.979 0.021 0.000 Na
0.109 0.891 0.762 Cu
0.278 0.722 0.944 Cu
0.447 0.553 0.719 Cu
0.553 0.447 0.219 Cu
0.722 0.278 0.444 Cu
0.891 0.109 0.262 Cu
0.098 0.902 0.129 Ge
0.206 0.794 0.646 Ge
0.207 0.793 0.242 Ge
0.382 0.618 0.016 Ge
0.448 0.552 0.336 Ge
0.552 0.448 0.836 Ge
0.618 0.382 0.516 Ge
0.793 0.207 0.742 Ge
0.794 0.206 0.146 Ge
0.902 0.098 0.629 Ge
```

Values from the calculation:
Its volume is 17.6 A^3/atom. The calculation puts the energy above the most stable polymorph in this dataset at 39 meV per atom. The calculated total energy comes out at -76.01 eV per cell. The value obtained for the spin magnetization is 0.000 μB/f.u. For the energy of formation from the pure elements, the calculation gives 0.001 eV per atom. As for the space group: No. 36.